Below is a relaxed La4RuPt crystal, with properties calculated at the PBE level.

Values from the calculation:
VASP energy ... -76.3 eV per cell
Crystal system ... triclinic
Space group ... No. 2
Volume ... 369 Å³ per cell
Calculated formation energy ... -3.133 eV/f.u.
D(E_F) ... 0.88 states/eV per atom

a = 7.1639 Å, b = 7.2414 Å, c = 8.5449 Å
α = 111.15°, β = 114.75°, γ = 90.27°
Fractional coordinates of all 12 atoms:
La  0.0741  0.0405  0.2346
La  0.1592  0.5415  0.2362
La  0.3281  0.3535  0.7377
La  0.4115  0.8538  0.7385
La  0.5885  0.1462  0.2615
La  0.6719  0.6465  0.2623
La  0.8408  0.4585  0.7638
La  0.9259  0.9595  0.7654
Ru  0.0000  0.0000  0.5000
Ru  0.5000  0.5000  0.5000
Pt  0.2677  0.7497  0.0002
Pt  0.7323  0.2503  0.9998

Below is a relaxed La2RuPt crystal, with properties calculated at the PBE level.

Values from the calculation:
VASP energy ... -27.2 eV per cell
Crystal system ... tetragonal
Space group ... No. 99
Volume ... 104 Å³ per cell
Calculated formation energy ... -2.027 eV/f.u.
D(E_F) ... 0.82 states/eV per atom

a = 4.2102 Å, b = 4.2102 Å, c = 5.8871 Å
α = 90.00°, β = 90.00°, γ = 90.00°
Fractional coordinates of all 4 atoms:
La  0.0000  0.0000  0.0000
La  0.5000  0.5000  0.4611
Ru  0.0000  0.0000  0.4329
Pt  0.5000  0.5000  0.9545

Below is a relaxed La2RuPt crystal, with properties calculated at the PBE level.

Values from the calculation:
VASP energy ... -27.5 eV per cell
Crystal system ... tetragonal
Space group ... No. 123
Volume ... 94 Å³ per cell
Calculated formation energy ... -2.378 eV/f.u.
D(E_F) ... 0.64 states/eV per atom

a = 5.1621 Å, b = 5.1621 Å, c = 3.5327 Å
α = 90.00°, β = 90.00°, γ = 90.00°
Fractional coordinates of all 4 atoms:
La  0.0000  0.5000  0.0000
La  0.5000  0.0000  0.0000
Ru  0.0000  0.0000  0.5000
Pt  0.5000  0.5000  0.5000

Below is a relaxed La8Ru2Pt3 crystal, with properties calculated at the PBE level.

Values from the calculation:
VASP energy ... -83.8 eV per cell
Crystal system ... monoclinic
Space group ... No. 12
Volume ... 409 Å³ per cell
Calculated formation energy ... -7.697 eV/f.u.
D(E_F) ... 0.86 states/eV per atom

a = 8.8076 Å, b = 8.8076 Å, c = 7.1887 Å
α = 109.43°, β = 109.43°, γ = 52.11°
Fractional coordinates of all 13 atoms:
La  0.1016  0.1016  0.4261
La  0.1289  0.6246  0.0862
La  0.3510  0.3510  0.5788
La  0.3754  0.8711  0.9138
La  0.6246  0.1289  0.0862
La  0.6490  0.6490  0.4212
La  0.8711  0.3754  0.9138
La  0.8984  0.8984  0.5739
Ru  0.2556  0.2556  0.7906
Ru  0.7444  0.7444  0.2094
Pt  0.0000  0.0000  0.0000
Pt  0.3051  0.6949  0.5000
Pt  0.6949  0.3051  0.5000